one) Below is a relaxed structure of Cs2BH4, with properties calculated at the PBE level.

Calculated values
Symmetry ... No. 11
Volume ... 30.03 A^3/atom
Density of states at the Fermi level ... 3.5 states/eV per cell
M_tot ... 0.00 μB/f.u.

Geometry as POSCAR:
```
Cs2BH4
1.0
-2.750 -2.031 -3.981
-3.504 -6.555 5.767
-3.923 10.007 -2.397
H Cs B
8 4 2
Cartesian
-7.177 2.901 1.749 H
-6.242 1.819 0.327 H
-5.186 2.599 1.856 H
-4.991 -1.179 -2.467 H
-3.935 -0.399 -0.938 H
-3.000 -1.481 -2.359 H
-3.723 0.350 -2.794 H
-6.454 1.070 2.183 H
-3.427 2.739 -0.760 Cs
-1.657 -2.049 0.461 Cs
-6.751 -1.319 0.149 Cs
-8.520 3.469 -1.072 Cs
-6.265 2.099 1.528 B
-3.912 -0.679 -2.139 B
```


two) Below is a relaxed structure of Cs2BH4, with properties calculated at the PBE level.

Calculated values
Symmetry ... No. 42
Volume ... 26.64 A^3/atom
Density of states at the Fermi level ... 2.6 states/eV per cell
M_tot ... 0.84 μB/f.u.

Geometry as POSCAR:
```
Cs2BH4
1.0
-4.117 2.294 -4.335
-3.517 -5.331 0.465
1.373 3.422 5.264
H Cs B
4 2 1
Cartesian
-0.591 1.014 0.371 H
-5.763 0.549 0.280 H
-0.805 -0.935 -0.057 H
-6.736 -3.295 -3.064 H
-2.982 -1.707 1.892 Cs
-3.282 2.106 -0.508 Cs
-4.117 2.291 -4.333 B
```


It is one) that is most stable; the runner-up trails by 0.071 eV/atom.


one) Below is a relaxed structure of Cs2BH, with properties calculated at the PBE level.

Calculated values
Symmetry ... No. 225
Volume ... 31.66 A^3/atom
Density of states at the Fermi level ... 5.7 states/eV per cell
M_tot ... 2.00 μB/f.u.

Geometry as POSCAR:
```
Cs2BH
1.0
0.000 3.986 3.986
3.986 0.000 3.986
3.986 3.986 0.000
Cs H B
2 1 1
Cartesian
1.993 1.993 1.993 Cs
5.979 5.979 5.979 Cs
0.000 0.000 0.000 H
3.986 3.986 3.986 B
```


two) Below is a relaxed structure of Cs2BH, with properties calculated at the PBE level.

Calculated values
Symmetry ... No. 122
Volume ... 42.13 A^3/atom
Density of states at the Fermi level ... 5.6 states/eV per cell
M_tot ... 2.00 μB/f.u.

Geometry as POSCAR:
```
Cs2BH
1.0
-4.512 4.384 -5.523
0.957 -6.116 -5.636
-5.791 -2.974 -3.974
Cs B H
4 2 2
Cartesian
-7.500 -3.448 -12.470 Cs
-3.928 1.018 -4.881 Cs
-1.633 -3.804 -5.476 Cs
-5.630 -3.178 -7.440 Cs
-6.040 0.272 -7.538 B
0.000 0.000 0.000 B
-3.306 -4.978 -7.595 H
-1.778 -0.866 -5.580 H
```


It is two) that is most stable; the runner-up trails by 0.018 eV/atom.


one) Below is a relaxed structure of CsBH2, with properties calculated at the PBE level.

Calculated values
Symmetry ... No. 225
Volume ... 19.12 A^3/atom
Density of states at the Fermi level ... 0.0 states/eV per cell
M_tot ... 0.00 μB/f.u.

Geometry as POSCAR:
```
CsBH2
1.0
-4.625 1.069 0.410
-2.454 1.463 -3.813
-3.285 -2.845 -1.954
H B Cs
2 1 1
Cartesian
-7.773 -0.234 -4.018 H
-2.591 -0.078 -1.339 H
0.000 0.000 0.000 B
-5.182 -0.156 -2.679 Cs
```


two) Below is a relaxed structure of CsBH2, with properties calculated at the PBE level.

Calculated values
Symmetry ... No. 141
Volume ... 14.26 A^3/atom
Density of states at the Fermi level ... 0.6 states/eV per cell
M_tot ... 0.00 μB/f.u.

Geometry as POSCAR:
```
CsBH2
1.0
5.053 0.000 0.000
0.000 5.053 0.000
2.527 2.527 4.469
Cs H B
2 4 2
Cartesian
0.000 0.000 0.000 Cs
5.053 2.527 2.234 Cs
3.790 5.053 3.352 H
6.317 5.053 3.352 H
2.527 1.263 1.117 H
2.527 3.790 1.117 H
2.527 5.053 2.234 B
2.527 2.527 0.000 B
```


It is two) that is most stable; the runner-up trails by 0.915 eV/atom.


one) Below is a relaxed structure of CsB2H6, with properties calculated at the PBE level.

Calculated values
Symmetry ... No. 12
Volume ... 11.99 A^3/atom
Density of states at the Fermi level ... 2.7 states/eV per cell
M_tot ... 0.22 μB/f.u.

Geometry as POSCAR:
```
CsB2H6
1.0
4.588 0.295 0.286
1.816 6.986 0.304
1.816 0.530 6.973
H B Cs
12 4 2
Cartesian
1.007 0.526 1.718 H
5.108 4.429 5.498 H
7.212 7.285 5.844 H
3.111 3.382 2.064 H
2.814 5.491 4.106 H
0.913 2.531 1.147 H
3.302 1.882 0.613 H
5.013 6.435 4.927 H
5.405 2.320 3.456 H
7.307 5.281 6.415 H
4.918 5.929 6.949 H
3.207 1.376 2.635 H
7.308 6.117 5.550 B
0.912 1.694 2.012 B
3.206 2.214 1.771 B
5.014 5.597 5.791 B
5.257 5.594 2.185 Cs
2.963 2.217 5.377 Cs
```


two) Below is a relaxed structure of CsB2H6, with properties calculated at the PBE level.

Calculated values
Symmetry ... No. 15
Volume ... 14.45 A^3/atom
M_tot ... 1.00 μB/f.u.

Geometry as POSCAR:
```
CsB2H6
1.0
6.286 -2.417 0.963
0.521 6.059 0.630
-0.234 -2.417 6.355
H B Cs
12 4 2
Cartesian
3.598 -3.113 5.318 H
6.259 -2.146 3.883 H
0.315 3.371 4.065 H
1.902 4.947 0.976 H
1.764 1.308 3.100 H
6.232 -0.693 6.211 H
2.900 0.884 7.191 H
4.809 -0.084 4.847 H
2.975 4.338 2.629 H
0.341 1.917 1.736 H
4.671 -3.722 6.971 H
3.673 0.341 0.757 H
5.972 -0.073 5.199 B
2.847 4.328 1.421 B
0.601 1.298 2.748 B
3.726 -3.103 6.527 B
1.431 -0.903 5.243 Cs
5.142 2.127 2.704 Cs
```


It is one) that is most stable; the runner-up trails by 0.012 eV/atom.


one) Below is a relaxed structure of CsHfB3, with properties calculated at the PBE level.

Calculated values
Symmetry ... No. 221
Volume ... 17.75 A^3/atom
Density of states at the Fermi level ... 4.6 states/eV per cell
M_tot ... 0.00 μB/f.u.

Geometry as POSCAR:
```
CsHfB3
1.0
4.461 0.000 0.000
0.000 4.461 0.000
0.000 0.000 4.461
B Hf Cs
3 1 1
Cartesian
2.230 0.000 0.000 B
0.000 0.000 2.230 B
0.000 2.230 0.000 B
2.230 2.230 2.230 Hf
0.000 0.000 0.000 Cs
```


two) Below is a relaxed structure of CsHfB3, with properties calculated at the PBE level.

Calculated values
Symmetry ... No. 221
Volume ... 22.00 A^3/atom
Density of states at the Fermi level ... 7.2 states/eV per cell
M_tot ... 1.00 μB/f.u.

Geometry as POSCAR:
```
CsHfB3
1.0
4.791 0.000 0.000
0.000 4.791 0.000
0.000 0.000 4.791
Cs B Hf
1 3 1
Cartesian
2.396 2.396 2.396 Cs
0.000 2.396 0.000 B
0.000 0.000 2.396 B
2.396 0.000 0.000 B
0.000 0.000 0.000 Hf
```


It is two) that is most stable; the runner-up trails by 1.533 eV/atom.


one) Below is a relaxed structure of CsHfB2, with properties calculated at the PBE level.

Calculated values
Symmetry ... No. 225
Volume ... 18.42 A^3/atom
Density of states at the Fermi level ... 4.6 states/eV per cell
M_tot ... 0.00 μB/f.u.

Geometry as POSCAR:
```
CsHfB2
1.0
0.000 3.327 3.327
3.327 0.000 3.327
3.327 3.327 0.000
Hf Cs B
1 1 2
Cartesian
3.327 3.327 3.327 Hf
0.000 0.000 0.000 Cs
4.991 4.991 4.991 B
1.664 1.664 1.664 B
```


two) Below is a relaxed structure of CsHfB2, with properties calculated at the PBE level.

Calculated values
Symmetry ... No. 122
Volume ... 28.82 A^3/atom
Density of states at the Fermi level ... 5.0 states/eV per cell
M_tot ... 0.00 μB/f.u.

Geometry as POSCAR:
```
CsHfB2
1.0
-1.566 -4.824 2.468
5.315 -1.866 -0.275
3.227 -0.454 7.604
B Cs Hf
4 2 2
Cartesian
1.710 -4.793 7.828 B
2.757 -5.505 3.891 B
0.103 -4.563 4.024 B
2.502 -2.385 6.594 B
5.209 -2.833 4.213 Cs
1.875 -3.345 1.096 Cs
1.768 -4.312 5.584 Hf
0.000 0.000 0.000 Hf
```


It is two) that is most stable; the runner-up trails by 0.623 eV/atom.


one) Below is a relaxed structure of CsNa2HfB, with properties calculated at the PBE level.

Calculated values
Symmetry ... No. 123
Volume ... 49.60 A^3/atom
Density of states at the Fermi level ... 6.9 states/eV per cell
M_tot ... 5.01 μB/f.u.

Geometry as POSCAR:
```
CsNa2HfB
1.0
-1.910 -5.866 -0.542
3.760 -1.685 4.983
-4.662 1.157 3.909
B Na Hf Cs
1 2 1 1
Cartesian
-1.406 -3.197 4.175 B
-2.331 0.578 1.955 Na
-0.955 -2.933 -0.271 Na
0.000 0.000 0.000 Hf
1.880 -0.842 2.491 Cs
```


two) Below is a relaxed structure of CsNa2HfB, with properties calculated at the PBE level.

Calculated values
Symmetry ... No. 123
Volume ... 37.54 A^3/atom
Density of states at the Fermi level ... 7.0 states/eV per cell
M_tot ... 0.00 μB/f.u.

Geometry as POSCAR:
```
CsNa2HfB
1.0
-1.522 -6.313 -0.580
1.670 -0.771 4.015
-5.841 1.164 2.653
B Hf Na Cs
1 1 2 1
Cartesian
0.835 -0.386 2.007 B
0.000 0.000 0.000 Hf
-2.920 0.582 1.326 Na
-0.761 -3.157 -0.290 Na
-2.846 -2.960 3.044 Cs
```


It is two) that is most stable; the runner-up trails by 1.206 eV/atom.


one) Below is a relaxed structure of CsB3I, with properties calculated at the PBE level.

Calculated values
Symmetry ... No. 221
Volume ... 23.36 A^3/atom
Density of states at the Fermi level ... 4.3 states/eV per cell
M_tot ... 0.00 μB/f.u.

Geometry as POSCAR:
```
CsB3I
1.0
4.888 0.000 0.000
0.000 4.888 0.000
0.000 0.000 4.888
Cs B I
1 3 1
Cartesian
2.444 2.444 2.444 Cs
2.444 0.000 0.000 B
0.000 2.444 0.000 B
0.000 0.000 2.444 B
0.000 0.000 0.000 I
```


two) Below is a relaxed structure of CsB3I, with properties calculated at the PBE level.

Calculated values
Symmetry ... No. 221
Volume ... 32.57 A^3/atom
Density of states at the Fermi level ... 4.7 states/eV per cell
M_tot ... 0.00 μB/f.u.

Geometry as POSCAR:
```
CsB3I
1.0
5.461 0.000 0.000
0.000 5.461 0.000
0.000 0.000 5.461
B Cs I
3 1 1
Cartesian
0.000 2.730 0.000 B
0.000 0.000 2.730 B
2.730 0.000 0.000 B
0.000 0.000 0.000 Cs
2.730 2.730 2.730 I
```


It is one) that is most stable; the runner-up trails by 0.674 eV/atom.


one) Below is a relaxed structure of CsBI2N, with properties calculated at the PBE level.

Calculated values
Symmetry ... No. 123
Volume ... 57.90 A^3/atom
Density of states at the Fermi level ... 4.4 states/eV per cell
M_tot ... 2.96 μB/f.u.

Geometry as POSCAR:
```
CsBI2N
1.0
-0.613 -4.981 5.082
6.877 0.897 1.709
-1.454 4.004 3.749
Cs I N B
1 2 1 1
Cartesian
0.000 0.000 0.000 Cs
-0.306 -2.491 2.541 I
3.438 0.448 0.854 I
-0.727 2.002 1.875 N
2.405 -0.040 5.270 B
```


two) Below is a relaxed structure of CsBI2N, with properties calculated at the PBE level.

Calculated values
Symmetry ... No. 123
Volume ... 30.01 A^3/atom
Density of states at the Fermi level ... 1.3 states/eV per cell
M_tot ... 0.00 μB/f.u.

Geometry as POSCAR:
```
CsBI2N
1.0
-2.828 5.229 3.960
0.370 -4.179 5.781
2.697 1.027 0.570
Cs I B N
1 2 1 1
Cartesian
0.120 1.039 5.156 Cs
0.185 -2.089 2.891 I
-1.414 2.614 1.980 I
0.000 0.000 0.000 B
1.348 0.513 0.285 N
```


It is two) that is most stable; the runner-up trails by 1.934 eV/atom.


one) Below is a relaxed structure of CsBIN2, with properties calculated at the PBE level.

Calculated values
Symmetry ... No. 123
Volume ... 31.98 A^3/atom
Density of states at the Fermi level ... 1.9 states/eV per cell
M_tot ... 2.14 μB/f.u.

Geometry as POSCAR:
```
CsBIN2
1.0
-2.522 -2.594 -2.693
3.448 -2.871 -0.464
-2.521 -4.039 6.252
N B Cs I
2 1 1 1
Cartesian
1.724 -1.435 -0.232 N
-1.261 -1.297 -1.347 N
-0.798 -4.752 1.547 B
0.000 0.000 0.000 Cs
-1.261 -2.019 3.126 I
```


two) Below is a relaxed structure of CsBIN2, with properties calculated at the PBE level.

Calculated values
Symmetry ... No. 123
Volume ... 21.62 A^3/atom
Density of states at the Fermi level ... 1.8 states/eV per cell
M_tot ... 3.47 μB/f.u.

Geometry as POSCAR:
```
CsBIN2
1.0
4.690 0.000 0.000
0.000 4.690 0.000
0.000 0.000 4.914
B N Cs I
1 2 1 1
Cartesian
0.000 0.000 0.000 B
0.000 2.345 0.000 N
2.345 0.000 0.000 N
2.345 2.345 2.457 Cs
0.000 0.000 2.457 I
```


It is two) that is most stable; the runner-up trails by 0.917 eV/atom.


one) Below is a relaxed structure of CsBI2O, with properties calculated at the PBE level.

Calculated values
Symmetry ... No. 123
Volume ... 30.06 A^3/atom
Density of states at the Fermi level ... 3.1 states/eV per cell
M_tot ... 0.14 μB/f.u.

Geometry as POSCAR:
```
CsBI2O
1.0
-3.772 -4.550 3.535
5.019 -0.519 4.687
-1.302 2.367 1.657
I B O Cs
2 1 1 1
Cartesian
-1.886 -2.275 1.768 I
2.510 -0.260 2.344 I
0.000 0.000 0.000 B
-0.651 1.183 0.828 O
-0.028 -1.351 4.940 Cs
```


two) Below is a relaxed structure of CsBI2O, with properties calculated at the PBE level.

Calculated values
Symmetry ... No. 123
Volume ... 44.91 A^3/atom
Density of states at the Fermi level ... 5.9 states/eV per cell
M_tot ... 0.80 μB/f.u.

Geometry as POSCAR:
```
CsBI2O
1.0
-0.058 -4.408 -5.639
-2.988 -5.110 4.025
-3.983 1.461 -1.101
Cs O I B
1 1 2 1
Cartesian
0.000 0.000 0.000 Cs
-1.991 0.730 -0.551 O
-0.029 -2.204 -2.820 I
-1.494 -2.555 2.013 I
-3.514 -4.029 -1.358 B
```


It is one) that is most stable; the runner-up trails by 1.441 eV/atom.


one) Below is a relaxed structure of CsBSbI2, with properties calculated at the PBE level.

Calculated values
Symmetry ... No. 123
Volume ... 34.80 A^3/atom
Density of states at the Fermi level ... 2.0 states/eV per cell
M_tot ... 0.00 μB/f.u.

Geometry as POSCAR:
```
CsBSbI2
1.0
6.162 0.000 0.000
0.000 6.162 0.000
0.000 0.000 4.583
Cs I Sb B
1 2 1 1
Cartesian
3.081 3.081 2.291 Cs
3.081 0.000 0.000 I
0.000 3.081 0.000 I
0.000 0.000 2.291 Sb
0.000 0.000 0.000 B
```


two) Below is a relaxed structure of CsBSbI2, with properties calculated at the PBE level.

Calculated values
Symmetry ... No. 123
Volume ... 38.88 A^3/atom
Density of states at the Fermi level ... 3.8 states/eV per cell
M_tot ... 0.78 μB/f.u.

Geometry as POSCAR:
```
CsBSbI2
1.0
6.539 0.000 0.000
0.000 4.547 0.000
0.000 0.000 6.539
Cs B I Sb
1 1 2 1
Cartesian
3.269 2.274 3.269 Cs
0.000 2.274 0.000 B
0.000 0.000 3.269 I
3.269 0.000 0.000 I
0.000 0.000 0.000 Sb
```


three) Below is a relaxed structure of CsBSbI2, with properties calculated at the PBE level.

Calculated values
Symmetry ... No. 123
Volume ... 81.79 A^3/atom
Density of states at the Fermi level ... 11.9 states/eV per cell
M_tot ... 2.90 μB/f.u.

Geometry as POSCAR:
```
CsBSbI2
1.0
7.314 0.000 0.000
0.000 7.314 0.000
0.000 0.000 7.644
I Cs Sb B
2 1 1 1
Cartesian
3.657 0.000 0.000 I
0.000 3.657 0.000 I
0.000 0.000 0.000 Cs
0.000 0.000 3.822 Sb
3.657 3.657 3.822 B
```


It is two) that is most stable; the runner-up trails by 0.022 eV/atom.